A geometry-optimized PmCrS2O structure. Source: the Alexandria database, functional PBE+U.

Computed properties:
E_tot ... -6.80 eV per atom
Calculated volume ... 18.588 A^3/atom

a = 3.784 Å, b = 3.784 Å, c = 12.978 Å
α = 90.00°, β = 90.00°, γ = 90.00°
Each line ends with the local moment (μB).
Atoms (fractional coordinates):
Pm1 0.500 0.000 0.599  0.01
Pm2 0.000 0.500 0.401  0.01
Cr1 0.500 0.000 0.102  3.52
Cr2 0.000 0.500 0.898  3.52
S1 0.000 0.500 0.717  -0.19
S2 0.000 0.500 0.087  -0.24
S3 0.500 0.000 0.913  -0.24
S4 0.500 0.000 0.283  -0.19
O1 0.000 0.000 0.500  -0.06
O2 0.500 0.500 0.500  -0.06